[1]
## SrLaAu2 (GGA-PBE)

Data for crystalline SrLaAu2 at its relaxed geometry.

Cell lengths 6.4496, 6.4496, 6.4496 Å; angles 139.76, 139.76, 58.22 degrees
Closest atoms and distances in Å follow each position.
Atoms (fractional coordinates):
Sr 0.0000 0.0000 0.0000  4 Au 3.14
La 0.7500 0.2500 0.5000  4 Au 3.14
Au 0.2500 0.7500 0.5000  4 La 3.14
Au 0.5000 0.5000 0.0000  4 Sr 3.14

V, A^3/atom: 27.73
ΔH_f (0 K), eV/atom: -0.540
ρ, Mg/m³: 9.287
N(E_F), states/eV per atom: 0.66

=====

[2]
## Ac2AlCd3 (GGA-PBE)

Data for crystalline Ac2AlCd3 at its relaxed geometry.

Cell lengths 10.0236, 9.5893, 6.4611 Å; angles 74.45, 67.17, 38.39 degrees
Closest atoms and distances in Å follow each position.
Atoms (fractional coordinates):
Ac 0.2408 0.7592 0.7592  10 Cd 3.54-3.56, 2 Al 3.56, 1 Ac 3.93
Ac 0.2500 0.2500 0.2500  8 Cd 3.51-3.52, 4 Al 3.55
Ac 0.7500 0.7500 0.7500  8 Cd 3.51-3.52, 4 Al 3.55
Ac 0.7592 0.2408 0.2408  10 Cd 3.54-3.56, 2 Al 3.56, 1 Ac 3.93
Al 0.3349 0.3349 0.6651  3 Cd 2.80-2.85
Al 0.6651 0.6651 0.3349  3 Cd 2.80-2.85
Cd 0.1706 0.1706 0.8294  1 Al 2.85, 2 Cd 2.98
Cd 0.1731 0.6575 0.3425  1 Al 2.80, 2 Cd 2.94-2.98
Cd 0.3425 0.8269 0.1731  1 Al 2.80, 2 Cd 2.94-2.98
Cd 0.6575 0.1731 0.8269  1 Al 2.80, 2 Cd 2.94-2.98
Cd 0.8269 0.3425 0.6575  1 Al 2.80, 2 Cd 2.94-2.98
Cd 0.8294 0.8294 0.1706  1 Al 2.85, 2 Cd 2.98

V, A^3/atom: 29.56
ΔH_f (0 K), eV/atom: -0.320
ρ, Mg/m³: 7.660
N(E_F), states/eV per atom: 0.98

=====

[3]
## La6Zn5Ge (GGA-PBE)

Data for crystalline La6Zn5Ge at its relaxed geometry.

Cell lengths 8.4185, 8.4185, 7.5226 Å; angles 90.00, 90.00, 143.31 degrees
Closest atoms and distances in Å follow each position.
Atoms (fractional coordinates):
La 0.0000 0.0000 0.2408  2 Ge 3.21, 6 Zn 3.29-3.34
La 0.0000 0.0000 0.7592  2 Ge 3.21, 6 Zn 3.29-3.34
La 0.3365 0.6635 0.2483  7 Zn 3.18-3.30, 1 Ge 3.21
La 0.3365 0.6635 0.7517  7 Zn 3.18-3.30, 1 Ge 3.21
La 0.6635 0.3365 0.2483  7 Zn 3.18-3.30, 1 Ge 3.21
La 0.6635 0.3365 0.7517  7 Zn 3.18-3.30, 1 Ge 3.21
Zn 0.1674 0.8326 0.5000  8 La 3.26-3.31
Zn 0.1758 0.8242 0.0000  8 La 3.18-3.34, 2 Zn 3.56
Zn 0.5000 0.5000 0.5000  8 La 3.23-3.29
Zn 0.8242 0.1758 0.0000  8 La 3.18-3.34, 2 Zn 3.56
Zn 0.8326 0.1674 0.5000  8 La 3.26-3.31
Ge 0.5000 0.5000 0.0000  8 La 3.21

V, A^3/atom: 26.55
ΔH_f (0 K), eV/atom: -0.395
ρ, Mg/m³: 6.428
N(E_F), states/eV per atom: 1.10

=====

[4]
## Co2PPt (GGA-PBE)

Data for crystalline Co2PPt at its relaxed geometry.

Cell lengths 2.7417, 3.4087, 5.3481 Å; angles 90.00, 90.00, 90.00 degrees
Closest atoms and distances in Å follow each position.
Atoms (fractional coordinates):
Co 0.0000 0.0000 0.0000  1 P 2.21
Co 0.5000 0.5000 0.2324  4 P 2.39, 4 Co 2.52, 1 Pt 2.66
P 0.0000 0.0000 0.4140  5 Co 2.21-2.39
Pt 0.5000 0.5000 0.7345  6 Co 2.61-2.69, 2 Pt 2.74, 4 P 2.78

V, A^3/atom: 12.50
ΔH_f (0 K), eV/atom: -0.045
ρ, Mg/m³: 11.426
N(E_F), states/eV per atom: 1.04

=====

[5]
## Sr3TiTe (GGA-PBE)

Data for crystalline Sr3TiTe at its relaxed geometry.

Cell lengths 6.2307, 6.2307, 6.2307 Å; angles 90.00, 90.00, 90.00 degrees
Closest atoms and distances in Å follow each position.
Atoms (fractional coordinates):
Sr 0.0000 0.0000 0.5000  2 Te 3.12
Sr 0.0000 0.5000 0.0000  2 Te 3.12
Sr 0.5000 0.0000 0.0000  2 Te 3.12
Ti 0.5000 0.5000 0.5000  12 Sr 4.41
Te 0.0000 0.0000 0.0000  6 Sr 3.12

V, A^3/atom: 48.38
Energy, eV per atom: -2.9784
ρ, Mg/m³: 3.009
N(E_F), states/eV per atom: 3.50

=====

[6]
## AgAu3Br (GGA-PBE)

Data for crystalline AgAu3Br at its relaxed geometry.

Cell lengths 5.1499, 5.1499, 5.1499 Å; angles 90.00, 90.00, 90.00 degrees
Closest atoms and distances in Å follow each position.
Atoms (fractional coordinates):
Ag 0.0000 0.0000 0.0000  6 Au 2.57
Au 0.0000 0.0000 0.5000  2 Ag 2.57
Au 0.0000 0.5000 0.0000  2 Ag 2.57
Au 0.5000 0.0000 0.0000  2 Ag 2.57
Br 0.5000 0.5000 0.5000  12 Au 3.64

V, A^3/atom: 27.32
Energy, eV per atom: -2.0873
ρ, Mg/m³: 9.467
N(E_F), states/eV per atom: 0.87

=====

[7]
## Zr6ZnN4 (GGA-PBE)

Data for crystalline Zr6ZnN4 at its relaxed geometry.

Cell lengths 5.8074, 5.8074, 17.2730 Å; angles 90.00, 90.00, 146.68 degrees
Closest atoms and distances in Å follow each position.
Atoms (fractional coordinates):
Zr 0.0000 0.0000 0.0000  6 N 2.34-2.37
Zr 0.0000 0.0000 0.5000  6 N 2.34-2.37
Zr 0.1481 0.8519 0.7500  2 N 2.30
Zr 0.2771 0.7229 0.0792  5 N 2.25-2.37
Zr 0.2771 0.7229 0.4208  5 N 2.25-2.37
Zr 0.4632 0.5368 0.6495  3 N 2.22-2.27
Zr 0.4632 0.5368 0.8505  3 N 2.22-2.27
Zr 0.5368 0.4632 0.1495  3 N 2.22-2.27
Zr 0.5368 0.4632 0.3505  3 N 2.22-2.27
Zr 0.7229 0.2771 0.5792  5 N 2.25-2.37
Zr 0.7229 0.2771 0.9208  5 N 2.25-2.37
Zr 0.8519 0.1481 0.2500  2 N 2.30
Zn 0.1586 0.8414 0.2500  6 Zr 2.72-2.76
Zn 0.8414 0.1586 0.7500  6 Zr 2.72-2.76
N 0.0942 0.9058 0.6213  6 Zr 2.27-2.34
N 0.0942 0.9058 0.8787  6 Zr 2.27-2.34
N 0.3617 0.6383 0.5390  6 Zr 2.22-2.37
N 0.3617 0.6383 0.9610  6 Zr 2.22-2.37
N 0.6383 0.3617 0.0390  6 Zr 2.22-2.37
N 0.6383 0.3617 0.4610  6 Zr 2.22-2.37
N 0.9058 0.0942 0.1213  6 Zr 2.27-2.34
N 0.9058 0.0942 0.3787  6 Zr 2.27-2.34

V, A^3/atom: 14.55
Energy, eV per atom: -9.1254
ρ, Mg/m³: 6.941
N(E_F), states/eV per atom: 0.39

=====

[8]
## Rb4Pa3HgTe8 (GGA-PBE)

Data for crystalline Rb4Pa3HgTe8 at its relaxed geometry.

Cell lengths 9.9637, 9.9637, 9.9637 Å; angles 56.07, 56.07, 56.07 degrees
Closest atoms and distances in Å follow each position.
Atoms (fractional coordinates):
Rb 0.0000 0.0000 0.0000  6 Te 3.60
Rb 0.0000 0.5000 0.5000  6 Te 3.67-3.79
Rb 0.5000 0.0000 0.5000  6 Te 3.67-3.79
Rb 0.5000 0.5000 0.0000  6 Te 3.67-3.79
Pa 0.0000 0.0000 0.5000  6 Te 3.09-3.19
Pa 0.0000 0.5000 0.0000  6 Te 3.09-3.19
Pa 0.5000 0.0000 0.0000  6 Te 3.09-3.19
Hg 0.5000 0.5000 0.5000  6 Te 3.31
Te 0.2099 0.7423 0.7423  2 Pa 3.09, 1 Hg 3.31
Te 0.2343 0.2343 0.2343  3 Pa 3.19
Te 0.2577 0.2577 0.7901  2 Pa 3.09, 1 Hg 3.31
Te 0.2577 0.7901 0.2577  2 Pa 3.09, 1 Hg 3.31
Te 0.7423 0.2099 0.7423  2 Pa 3.09, 1 Hg 3.31
Te 0.7423 0.7423 0.2099  2 Pa 3.09, 1 Hg 3.31
Te 0.7657 0.7657 0.7657  3 Pa 3.19
Te 0.7901 0.2577 0.2577  2 Pa 3.09, 1 Hg 3.31

V, A^3/atom: 39.73
Energy, eV per atom: -4.4583
ρ, Mg/m³: 5.894
N(E_F), states/eV per atom: 1.17

=====

[9]
## LaMg9Rh2 (GGA-PBE)

Data for crystalline LaMg9Rh2 at its relaxed geometry.

Cell lengths 9.0332, 9.0332, 9.0332 Å; angles 100.27, 100.27, 130.05 degrees
Closest atoms and distances in Å follow each position.
Atoms (fractional coordinates):
La 0.3750 0.6250 0.7500  18 Mg 3.64-3.81, 4 Rh 4.07
La 0.6250 0.3750 0.2500  18 Mg 3.64-3.81, 4 Rh 4.07
Mg 0.1250 0.8750 0.2500  8 Mg 3.03, 4 Rh 3.05
Mg 0.1429 0.5726 0.3259  2 Rh 2.76-2.79, 6 Mg 2.83-3.08
Mg 0.1429 0.8170 0.5703  2 Rh 2.76-2.79, 6 Mg 2.83-3.08
Mg 0.1830 0.2534 0.3259  2 Rh 2.76-2.79, 6 Mg 2.83-3.08
Mg 0.1830 0.8571 0.9297  2 Rh 2.76-2.79, 6 Mg 2.83-3.08
Mg 0.2534 0.1830 0.8259  2 Rh 2.76-2.79, 6 Mg 2.83-3.08
Mg 0.2534 0.4274 0.0703  2 Rh 2.76-2.79, 6 Mg 2.83-3.08
Mg 0.4274 0.2534 0.5703  2 Rh 2.76-2.79, 6 Mg 2.83-3.08
Mg 0.4274 0.8571 0.1741  2 Rh 2.76-2.79, 6 Mg 2.83-3.08
Mg 0.5726 0.1429 0.8259  2 Rh 2.76-2.79, 6 Mg 2.83-3.08
Mg 0.5726 0.7466 0.4297  2 Rh 2.76-2.79, 6 Mg 2.83-3.08
Mg 0.7466 0.5726 0.9297  2 Rh 2.76-2.79, 6 Mg 2.83-3.08
Mg 0.7466 0.8170 0.1741  2 Rh 2.76-2.79, 6 Mg 2.83-3.08
Mg 0.8170 0.1429 0.0703  2 Rh 2.76-2.79, 6 Mg 2.83-3.08
Mg 0.8170 0.7466 0.6741  2 Rh 2.76-2.79, 6 Mg 2.83-3.08
Mg 0.8571 0.1830 0.4297  2 Rh 2.76-2.79, 6 Mg 2.83-3.08
Mg 0.8571 0.4274 0.6741  2 Rh 2.76-2.79, 6 Mg 2.83-3.08
Mg 0.8750 0.1250 0.7500  8 Mg 3.03, 4 Rh 3.05
Rh 0.0000 0.0000 0.0000  10 Mg 2.76-3.05
Rh 0.0000 0.0000 0.5000  10 Mg 2.76-3.05
Rh 0.0000 0.5000 0.0000  10 Mg 2.76-3.05
Rh 0.5000 0.0000 0.5000  10 Mg 2.76-3.05

V, A^3/atom: 21.31
ΔH_f (0 K), eV/atom: -0.257
ρ, Mg/m³: 3.659
N(E_F), states/eV per atom: 0.65

=====

[10]
## CaPmYAg (GGA-PBE)

Data for crystalline CaPmYAg at its relaxed geometry.

Cell lengths 3.6027, 3.6027, 9.3947 Å; angles 90.00, 90.00, 90.00 degrees
Closest atoms and distances in Å follow each position.
Atoms (fractional coordinates):
Ca 0.0000 0.0000 0.0000  4 Ag 3.24, 4 Ca 3.60
Pm 0.5000 0.5000 0.3213  4 Pm 3.60, 4 Y 3.62, 4 Ca 3.95
Y 0.0000 0.0000 0.5946  4 Ag 3.12
Ag 0.5000 0.5000 0.7870  4 Y 3.12, 4 Ca 3.24

V, A^3/atom: 30.48
ΔH_f (0 K), eV/atom: -0.126
ρ, Mg/m³: 5.200
N(E_F), states/eV per atom: 1.31

=====

[11]
## ZnPt3N (GGA-PBE)

Data for crystalline ZnPt3N at its relaxed geometry.

Cell lengths 4.6743, 4.6743, 4.6743 Å; angles 90.00, 90.00, 90.00 degrees
Closest atoms and distances in Å follow each position.
Atoms (fractional coordinates):
Zn 0.0000 0.0000 0.0000  6 Pt 2.34
Pt 0.0000 0.0000 0.5000  2 Zn 2.34
Pt 0.0000 0.5000 0.0000  2 Zn 2.34
Pt 0.5000 0.0000 0.0000  2 Zn 2.34
N 0.5000 0.5000 0.5000  12 Pt 3.31

V, A^3/atom: 20.43
Energy, eV per atom: -3.5303
ρ, Mg/m³: 10.807
N(E_F), states/eV per atom: 0.77

=====

[12]
## Sm3CdSb2 (GGA-PBE)

Data for crystalline Sm3CdSb2 at its relaxed geometry.

Cell lengths 7.7830, 7.7830, 8.9194 Å; angles 106.64, 106.64, 47.65 degrees
Closest atoms and distances in Å follow each position.
Atoms (fractional coordinates):
Sm 0.0011 0.9989 0.7500  4 Sb 3.13-3.14, 2 Cd 3.14
Sm 0.3201 0.3204 0.4101  4 Sb 3.08-3.15, 2 Cd 3.30
Sm 0.3204 0.3201 0.9101  4 Sb 3.08-3.15, 2 Cd 3.30
Sm 0.6796 0.6799 0.0899  4 Sb 3.08-3.15, 2 Cd 3.30
Sm 0.6799 0.6796 0.5899  4 Sb 3.08-3.15, 2 Cd 3.30
Sm 0.9989 0.0011 0.2500  4 Sb 3.13-3.14, 2 Cd 3.14
Cd 0.4988 0.5012 0.2500  6 Sm 3.14-3.30
Cd 0.5012 0.4988 0.7500  6 Sm 3.14-3.30
Sb 0.1626 0.1630 0.0816  6 Sm 3.08-3.15
Sb 0.1630 0.1626 0.5816  6 Sm 3.08-3.15
Sb 0.8370 0.8374 0.4184  6 Sm 3.08-3.15
Sb 0.8374 0.8370 0.9184  6 Sm 3.08-3.15

V, A^3/atom: 31.60
Energy, eV per atom: -4.6496
ρ, Mg/m³: 7.068
N(E_F), states/eV per atom: 0.98

=====

Q: Number 7 is which compound?
A: Zr6ZnN4

=====

Q: V of number 6 (AgAu3Br)?
A: 27.32 A^3/atom

=====

Repeat the third record exactly.
## La6Zn5Ge (GGA-PBE)

Data for crystalline La6Zn5Ge at its relaxed geometry.

Cell lengths 8.4185, 8.4185, 7.5226 Å; angles 90.00, 90.00, 143.31 degrees
Closest atoms and distances in Å follow each position.
Atoms (fractional coordinates):
La 0.0000 0.0000 0.2408  2 Ge 3.21, 6 Zn 3.29-3.34
La 0.0000 0.0000 0.7592  2 Ge 3.21, 6 Zn 3.29-3.34
La 0.3365 0.6635 0.2483  7 Zn 3.18-3.30, 1 Ge 3.21
La 0.3365 0.6635 0.7517  7 Zn 3.18-3.30, 1 Ge 3.21
La 0.6635 0.3365 0.2483  7 Zn 3.18-3.30, 1 Ge 3.21
La 0.6635 0.3365 0.7517  7 Zn 3.18-3.30, 1 Ge 3.21
Zn 0.1674 0.8326 0.5000  8 La 3.26-3.31
Zn 0.1758 0.8242 0.0000  8 La 3.18-3.34, 2 Zn 3.56
Zn 0.5000 0.5000 0.5000  8 La 3.23-3.29
Zn 0.8242 0.1758 0.0000  8 La 3.18-3.34, 2 Zn 3.56
Zn 0.8326 0.1674 0.5000  8 La 3.26-3.31
Ge 0.5000 0.5000 0.0000  8 La 3.21

V, A^3/atom: 26.55
ΔH_f (0 K), eV/atom: -0.395
ρ, Mg/m³: 6.428
N(E_F), states/eV per atom: 1.10

=====

Q: Among the records above, which one has the highest V?
A: Sr3TiTe